# 1
CoNi3Sn after structural relaxation. Source: Alexandria via LeMat-Bulk, functional PBE.

Cell lengths 4.3081, 4.3081, 4.3081 Å; angles 90.00, 90.00, 90.00 degrees
Element x y z (fractional)
Co: 0.0000 0.0000 0.0000
Ni: 0.0000 0.0000 0.5000
Ni: 0.0000 0.5000 0.0000
Ni: 0.5000 0.0000 0.0000
Sn: 0.5000 0.5000 0.5000

Results
- E: -4.98 eV per atom
- Energy of formation from the pure elements: 0.71 eV per atom
- E above lowest polymorph: 0.0 meV/atom

***

# 2
Li2BeSb after structural relaxation. Source: Alexandria via LeMat-Bulk, functional PBE.

Cell lengths 4.7481, 4.7481, 3.1538 Å; angles 90.00, 90.00, 111.97 degrees
Element x y z (fractional)
Li: 0.0000 0.5000 0.0000
Li: 0.5000 0.0000 0.0000
Be: 0.0000 0.0000 0.5000
Sb: 0.5000 0.5000 0.5000

Results
- Energy relative to the elements, uncorrected: 0.007 eV per atom
- E: -2.91 eV per atom
- E above lowest polymorph: 137.9 meV/atom

***

# 3
BeAlPt after structural relaxation. Source: Alexandria via LeMat-Bulk, functional PBE.

Cell lengths 4.0198, 4.0198, 2.8272 Å; angles 90.00, 90.00, 120.00 degrees
Element x y z (fractional)
Be: 0.0000 0.0000 0.0000
Al: 0.3333 0.6667 0.5000
Pt: 0.6667 0.3333 0.0000

Results
- E: -5.09 eV per atom
- Energy of formation from the pure elements: -0.59 eV per atom
- E above lowest polymorph: 78.1 meV/atom

***

# 4
CeHoTePb after structural relaxation. Source: Alexandria via LeMat-Bulk, functional PBE.

Cell lengths 7.7198, 7.7198, 7.7198 Å; angles 33.72, 33.72, 33.72 degrees
Element x y z (fractional)
Ce: 0.0000 0.0000 0.0000
Ho: 0.4959 0.4959 0.4959
Te: 0.2447 0.2447 0.2447
Pb: 0.7503 0.7503 0.7503

Results
- Energy relative to the elements, uncorrected: -0.883 eV per atom
- E: -5.22 eV per atom